# 1
PmHoFeCu | GGA-PBE | relaxed

symmetry = No. 216
ΔH_f (0 K) = 0.0281 eV/atom
density = 8.64 g/cm3
total moment = 0.285 μB per atom
uncorrected energy = -5.444 eV/atom

Cell lengths 6.9119, 6.9119, 6.9119 Å; angles 90.00, 90.00, 90.00 degrees
Element x y z (fractional)
Pm (0.0000, 0.0000, 0.0000)
Pm (0.0000, 0.5000, 0.5000)
Pm (0.5000, 0.0000, 0.5000)
Pm (0.5000, 0.5000, 0.0000)
Ho (0.0000, 0.0000, 0.5000)
Ho (0.0000, 0.5000, 0.0000)
Ho (0.5000, 0.0000, 0.0000)
Ho (0.5000, 0.5000, 0.5000)
Fe (0.2500, 0.2500, 0.2500)
Fe (0.2500, 0.7500, 0.7500)
Fe (0.7500, 0.2500, 0.7500)
Fe (0.7500, 0.7500, 0.2500)
Cu (0.2500, 0.2500, 0.7500)
Cu (0.2500, 0.7500, 0.2500)
Cu (0.7500, 0.2500, 0.2500)
Cu (0.7500, 0.7500, 0.7500)


# 2
NdTlPO4 | GGA-PBE | relaxed

symmetry = No. 11
formation energy without anion corrections = -220 kJ/mol of atoms
density = 4.79 g/cm3
total moment = 0.000 μB per atom
uncorrected energy = -6.909 eV/atom

Cell lengths 6.0053, 5.1794, 10.1332 Å; angles 90.00, 102.37, 90.00 degrees
Element x y z (fractional)
Nd (0.2029, 0.2500, 0.4320)
Nd (0.7971, 0.7500, 0.5680)
Tl (0.3015, 0.7500, 0.0082)
Tl (0.6985, 0.2500, 0.9918)
P (0.3173, 0.7500, 0.6188)
P (0.6827, 0.2500, 0.3812)
O (0.1620, 0.5124, 0.6263)
O (0.1620, 0.9876, 0.6263)
O (0.3677, 0.7500, 0.4710)
O (0.4529, 0.2500, 0.2815)
O (0.5471, 0.7500, 0.7185)
O (0.6323, 0.2500, 0.5290)
O (0.8380, 0.0124, 0.3737)
O (0.8380, 0.4876, 0.3737)


> total moment of number 2 (NdTlPO4)?

0.000 μB per atom


Please write out number 2 again, unchanged.
NdTlPO4 | GGA-PBE | relaxed

symmetry = No. 11
formation energy without anion corrections = -220 kJ/mol of atoms
density = 4.79 g/cm3
total moment = 0.000 μB per atom
uncorrected energy = -6.909 eV/atom

Cell lengths 6.0053, 5.1794, 10.1332 Å; angles 90.00, 102.37, 90.00 degrees
Element x y z (fractional)
Nd (0.2029, 0.2500, 0.4320)
Nd (0.7971, 0.7500, 0.5680)
Tl (0.3015, 0.7500, 0.0082)
Tl (0.6985, 0.2500, 0.9918)
P (0.3173, 0.7500, 0.6188)
P (0.6827, 0.2500, 0.3812)
O (0.1620, 0.5124, 0.6263)
O (0.1620, 0.9876, 0.6263)
O (0.3677, 0.7500, 0.4710)
O (0.4529, 0.2500, 0.2815)
O (0.5471, 0.7500, 0.7185)
O (0.6323, 0.2500, 0.5290)
O (0.8380, 0.0124, 0.3737)
O (0.8380, 0.4876, 0.3737)


> Which value of total moment does entry 1 give?

0.285 μB per atom


> What is the formula in the first record?

PmHoFeCu